[1]
# Ac3Zn2CuO8

Ac3Zn2CuO8 after structural relaxation (PBE, Alexandria).

Cell and atoms, written as CIF:
```
data_Ac3Zn2CuO8
_chemical_formula_sum 'Ac3 Zn2 Cu1 O8'
_cell_length_a 5.622
_cell_length_b 5.622
_cell_length_c 7.323
_cell_angle_alpha 90.00
_cell_angle_beta 90.00
_cell_angle_gamma 120.00
_symmetry_space_group_name_H-M 'P 1'
_symmetry_Int_Tables_number 1
_symmetry_space_group_name_Hall 'P 1'
loop_
_atom_site_label
_atom_site_type_symbol
_atom_site_fract_x
_atom_site_fract_y
_atom_site_fract_z
Ac1 Ac 0.667 0.333 0.372
Ac2 Ac 0.333 0.667 0.628
Ac3 Ac 0.000 0.000 0.000
O1 O 0.839 0.161 0.673
O2 O 0.161 0.322 0.327
O3 O 0.322 0.161 0.673
O4 O 0.333 0.667 0.938
O5 O 0.161 0.839 0.327
O6 O 0.667 0.333 0.062
O7 O 0.678 0.839 0.327
O8 O 0.839 0.678 0.673
Zn1 Zn 0.333 0.667 0.189
Zn2 Zn 0.667 0.333 0.811
Cu1 Cu 0.000 0.000 0.500
```

Properties
magnetization	0.4	μB per formula unit
total energy	-6.3211	eV/atom
D(E_F)	4.10	states/eV/f.u.
crystal system	trigonal
uncorrected formation energy	-205.79	kJ per mole of atoms



[2]
# LiSmHo

LiSmHo after structural relaxation (PBE, Alexandria).

Cell and atoms, written as CIF:
```
data_LiSmHo
_chemical_formula_sum 'Li2 Sm2 Ho2'
_cell_length_a 3.516
_cell_length_b 3.516
_cell_length_c 30.826
_cell_angle_alpha 104.22
_cell_angle_beta 104.22
_cell_angle_gamma 60.03
_symmetry_space_group_name_H-M 'P 1'
_symmetry_Int_Tables_number 1
_symmetry_space_group_name_Hall 'P 1'
loop_
_atom_site_label
_atom_site_type_symbol
_atom_site_fract_x
_atom_site_fract_y
_atom_site_fract_z
Ho1 Ho 0.711 0.711 0.147
Ho2 Ho 0.289 0.289 0.853
Li1 Li 0.113 0.113 0.463
Li2 Li 0.887 0.887 0.537
Sm1 Sm 0.758 0.758 0.947
Sm2 Sm 0.242 0.242 0.053
```

Properties
magnetization	0.6	μB per formula unit
total energy	-3.3838	eV/atom
polymorph energy (0 for the lowest one)	0.2647	eV per atom
D(E_F)	4.33	states/eV/f.u.
crystal system	monoclinic
formation energy	0.353	eV/atom



[3]
# ScFe2PdC

ScFe2PdC after structural relaxation (PBE, Alexandria).

Cell and atoms, written as CIF:
```
data_ScFe2PdC
_chemical_formula_sum 'Sc1 Fe2 Pd1 C1'
_cell_length_a 3.773
_cell_length_b 3.773
_cell_length_c 4.502
_cell_angle_alpha 90.00
_cell_angle_beta 90.00
_cell_angle_gamma 90.00
_symmetry_space_group_name_H-M 'P 1'
_symmetry_Int_Tables_number 1
_symmetry_space_group_name_Hall 'P 1'
loop_
_atom_site_label
_atom_site_type_symbol
_atom_site_fract_x
_atom_site_fract_y
_atom_site_fract_z
Pd1 Pd 0.500 0.500 0.500
Sc1 Sc 0.000 0.000 0.500
Fe1 Fe 0.000 0.500 0.000
Fe2 Fe 0.500 0.000 0.000
C1 C 0.000 0.000 0.000
```

Properties
magnetization	2.3	μB per formula unit
total energy	-7.7606	eV/atom
D(E_F)	4.17	states/eV/f.u.
crystal system	tetragonal
formation energy	-0.226	eV/atom



[4]
# TiMn2Se4

TiMn2Se4 after structural relaxation (PBE, Alexandria).

Cell and atoms, written as CIF:
```
data_TiMn2Se4
_chemical_formula_sum 'Ti1 Mn2 Se4'
_cell_length_a 3.669
_cell_length_b 6.531
_cell_length_c 6.983
_cell_angle_alpha 118.79
_cell_angle_beta 105.23
_cell_angle_gamma 90.00
_symmetry_space_group_name_H-M 'P 1'
_symmetry_Int_Tables_number 1
_symmetry_space_group_name_Hall 'P 1'
loop_
_atom_site_label
_atom_site_type_symbol
_atom_site_fract_x
_atom_site_fract_y
_atom_site_fract_z
Se1 Se 0.632 0.295 0.264
Se2 Se 0.885 0.217 0.769
Se3 Se 0.368 0.705 0.736
Se4 Se 0.115 0.783 0.231
Ti1 Ti 0.000 0.000 0.000
Mn1 Mn 0.744 0.774 0.489
Mn2 Mn 0.256 0.226 0.511
```

Properties
magnetization	8.1	μB per formula unit
total energy	-6.4413	eV/atom
polymorph energy (0 for the lowest one)	0.0000	eV per atom
D(E_F)	3.30	states/eV/f.u.
crystal system	monoclinic
uncorrected formation energy	-67.77	kJ per mole of atoms



[5]
# Hf4Ge3H

Hf4Ge3H after structural relaxation (PBE, Alexandria).

Cell and atoms, written as CIF:
```
data_Hf4Ge3H
_chemical_formula_sum 'Hf8 Ge6 H2'
_cell_length_a 5.412
_cell_length_b 6.755
_cell_length_c 8.214
_cell_angle_alpha 90.00
_cell_angle_beta 90.00
_cell_angle_gamma 90.00
_symmetry_space_group_name_H-M 'P 1'
_symmetry_Int_Tables_number 1
_symmetry_space_group_name_Hall 'P 1'
loop_
_atom_site_label
_atom_site_type_symbol
_atom_site_fract_x
_atom_site_fract_y
_atom_site_fract_z
Hf1 Hf 0.082 0.218 0.188
Hf2 Hf 0.582 0.782 0.312
Hf3 Hf 0.582 0.782 0.688
Hf4 Hf 0.062 0.922 0.500
Hf5 Hf 0.082 0.218 0.812
Hf6 Hf 0.594 0.198 0.500
Hf7 Hf 0.094 0.802 0.000
Hf8 Hf 0.562 0.078 0.000
H1 H 0.433 0.933 0.500
H2 H 0.933 0.067 0.000
Ge1 Ge 0.102 0.318 0.500
Ge2 Ge 0.080 0.609 0.702
Ge3 Ge 0.580 0.391 0.798
Ge4 Ge 0.602 0.682 0.000
Ge5 Ge 0.080 0.609 0.298
Ge6 Ge 0.580 0.391 0.202
```

Properties
magnetization	0.0	μB per formula unit
total energy	-7.3044	eV/atom
D(E_F)	4.64	states/eV/f.u.
crystal system	orthorhombic



[6]
# LiEu3O

LiEu3O after structural relaxation (PBE, Alexandria).

Cell and atoms, written as CIF:
```
data_LiEu3O
_chemical_formula_sum 'Li1 Eu3 O1'
_cell_length_a 5.132
_cell_length_b 5.132
_cell_length_c 5.132
_cell_angle_alpha 90.00
_cell_angle_beta 90.00
_cell_angle_gamma 90.00
_symmetry_space_group_name_H-M 'P 1'
_symmetry_Int_Tables_number 1
_symmetry_space_group_name_Hall 'P 1'
loop_
_atom_site_label
_atom_site_type_symbol
_atom_site_fract_x
_atom_site_fract_y
_atom_site_fract_z
Eu1 Eu 0.500 0.000 0.000
Eu2 Eu 0.000 0.000 0.500
Eu3 Eu 0.000 0.500 0.000
Li1 Li 0.500 0.500 0.500
O1 O 0.000 0.000 0.000
```

Properties
magnetization	22.5	μB per formula unit
total energy	-8.5764	eV/atom
D(E_F)	10.47	states/eV/f.u.
crystal system	cubic
uncorrected formation energy	-100.09	kJ per mole of atoms



[7]
# Th2SiAs

Th2SiAs after structural relaxation (PBE, Alexandria).

Cell and atoms, written as CIF:
```
data_Th2SiAs
_chemical_formula_sum 'Th2 Si1 As1'
_cell_length_a 4.169
_cell_length_b 4.169
_cell_length_c 7.232
_cell_angle_alpha 90.00
_cell_angle_beta 90.00
_cell_angle_gamma 60.00
_symmetry_space_group_name_H-M 'P 1'
_symmetry_Int_Tables_number 1
_symmetry_space_group_name_Hall 'P 1'
loop_
_atom_site_label
_atom_site_type_symbol
_atom_site_fract_x
_atom_site_fract_y
_atom_site_fract_z
Th1 Th 0.833 0.833 0.743
Th2 Th 0.167 0.167 0.257
Si1 Si 0.500 0.500 0.500
As1 As 0.500 0.500 0.000
```

Properties
magnetization	0.0	μB per formula unit
total energy	-7.1723	eV/atom
polymorph energy (0 for the lowest one)	0.0919	eV per atom
D(E_F)	2.48	states/eV/f.u.
crystal system	trigonal
uncorrected formation energy	-91.10	kJ per mole of atoms



[8]
# CsSi3Bi

CsSi3Bi after structural relaxation (PBE, Alexandria).

Cell and atoms, written as CIF:
```
data_CsSi3Bi
_chemical_formula_sum 'Cs1 Si3 Bi1'
_cell_length_a 5.545
_cell_length_b 5.545
_cell_length_c 5.545
_cell_angle_alpha 90.00
_cell_angle_beta 90.00
_cell_angle_gamma 90.00
_symmetry_space_group_name_H-M 'P 1'
_symmetry_Int_Tables_number 1
_symmetry_space_group_name_Hall 'P 1'
loop_
_atom_site_label
_atom_site_type_symbol
_atom_site_fract_x
_atom_site_fract_y
_atom_site_fract_z
Bi1 Bi 0.500 0.500 0.500
Cs1 Cs 0.000 0.000 0.000
Si1 Si 0.000 0.000 0.500
Si2 Si 0.000 0.500 0.000
Si3 Si 0.500 0.000 0.000
```

Properties
magnetization	0.0	μB per formula unit
total energy	-2.0968	eV/atom
polymorph energy (0 for the lowest one)	1.0319	eV per atom
D(E_F)	6.44	states/eV/f.u.
crystal system	cubic
uncorrected formation energy	203.00	kJ per mole of atoms



[9]
# Cs3GaAu2

Cs3GaAu2 after structural relaxation (PBE, Alexandria).

Cell and atoms, written as CIF:
```
data_Cs3GaAu2
_chemical_formula_sum 'Cs12 Ga4 Au8'
_cell_length_a 9.536
_cell_length_b 11.146
_cell_length_c 12.130
_cell_angle_alpha 90.00
_cell_angle_beta 117.27
_cell_angle_gamma 90.00
_symmetry_space_group_name_H-M 'P 1'
_symmetry_Int_Tables_number 1
_symmetry_space_group_name_Hall 'P 1'
loop_
_atom_site_label
_atom_site_type_symbol
_atom_site_fract_x
_atom_site_fract_y
_atom_site_fract_z
Au1 Au 0.707 0.872 0.348
Au2 Au 0.793 0.372 0.152
Au3 Au 0.180 0.222 0.117
Au4 Au 0.293 0.128 0.652
Au5 Au 0.820 0.778 0.883
Au6 Au 0.320 0.722 0.383
Au7 Au 0.680 0.278 0.617
Au8 Au 0.207 0.628 0.848
Cs1 Cs 0.931 0.968 0.672
Cs2 Cs 0.227 0.388 0.426
Cs3 Cs 0.069 0.032 0.328
Cs4 Cs 0.431 0.532 0.172
Cs5 Cs 0.884 0.686 0.189
Cs6 Cs 0.569 0.468 0.828
Cs7 Cs 0.727 0.112 0.926
Cs8 Cs 0.116 0.314 0.811
Cs9 Cs 0.273 0.888 0.074
Cs10 Cs 0.384 0.814 0.689
Cs11 Cs 0.616 0.186 0.311
Cs12 Cs 0.773 0.612 0.574
Ga1 Ga 0.006 0.597 0.936
Ga2 Ga 0.494 0.097 0.564
Ga3 Ga 0.994 0.403 0.064
Ga4 Ga 0.506 0.903 0.436
```

Properties
magnetization	0.0	μB per formula unit
total energy	-2.2238	eV/atom
polymorph energy (0 for the lowest one)	0.0000	eV per atom
D(E_F)	3.57	states/eV/f.u.
crystal system	monoclinic
formation energy	-0.200	eV/atom



[10]
# AlAs2W

AlAs2W after structural relaxation (PBE, Alexandria).

Cell and atoms, written as CIF:
```
data_AlAs2W
_chemical_formula_sum 'Al1 As2 W1'
_cell_length_a 2.883
_cell_length_b 2.883
_cell_length_c 9.645
_cell_angle_alpha 90.00
_cell_angle_beta 90.00
_cell_angle_gamma 106.61
_symmetry_space_group_name_H-M 'P 1'
_symmetry_Int_Tables_number 1
_symmetry_space_group_name_Hall 'P 1'
loop_
_atom_site_label
_atom_site_type_symbol
_atom_site_fract_x
_atom_site_fract_y
_atom_site_fract_z
As1 As 0.500 0.500 0.317
As2 As 0.000 0.000 0.936
W1 W 0.000 0.000 0.515
Al1 Al 0.500 0.500 0.731
```

Properties
magnetization	0.0	μB per formula unit
total energy	-6.3147	eV/atom
polymorph energy (0 for the lowest one)	0.1188	eV per atom
D(E_F)	1.46	states/eV/f.u.
crystal system	orthorhombic
formation energy	0.184	eV/atom



[11]
# BaHfRe2Pt

BaHfRe2Pt after structural relaxation (PBE, Alexandria).

Cell and atoms, written as CIF:
```
data_BaHfRe2Pt
_chemical_formula_sum 'Ba1 Hf1 Re2 Pt1'
_cell_length_a 4.837
_cell_length_b 6.113
_cell_length_c 4.837
_cell_angle_alpha 90.00
_cell_angle_beta 90.00
_cell_angle_gamma 90.00
_symmetry_space_group_name_H-M 'P 1'
_symmetry_Int_Tables_number 1
_symmetry_space_group_name_Hall 'P 1'
loop_
_atom_site_label
_atom_site_type_symbol
_atom_site_fract_x
_atom_site_fract_y
_atom_site_fract_z
Re1 Re 0.000 0.000 0.500
Re2 Re 0.500 0.000 0.000
Pt1 Pt 0.500 0.500 0.500
Ba1 Ba 0.000 0.500 0.000
Hf1 Hf 0.000 0.000 0.000
```

Properties
magnetization	3.3	μB per formula unit
total energy	-6.4831	eV/atom
D(E_F)	5.98	states/eV/f.u.
crystal system	tetragonal
formation energy	2.080	eV/atom



[12]
# LiSnCl2

LiSnCl2 after structural relaxation (PBE, Alexandria).

Cell and atoms, written as CIF:
```
data_LiSnCl2
_chemical_formula_sum 'Li2 Sn2 Cl4'
_cell_length_a 6.632
_cell_length_b 6.632
_cell_length_c 6.835
_cell_angle_alpha 60.98
_cell_angle_beta 60.98
_cell_angle_gamma 90.00
_symmetry_space_group_name_H-M 'P 1'
_symmetry_Int_Tables_number 1
_symmetry_space_group_name_Hall 'P 1'
loop_
_atom_site_label
_atom_site_type_symbol
_atom_site_fract_x
_atom_site_fract_y
_atom_site_fract_z
Cl1 Cl 0.208 0.625 0.250
Cl2 Cl 0.375 0.458 0.750
Cl3 Cl 0.875 0.792 0.750
Cl4 Cl 0.542 0.125 0.250
Li1 Li 0.500 0.500 0.000
Li2 Li 0.250 0.750 0.500
Sn1 Sn 0.750 0.250 0.500
Sn2 Sn 0.000 0.000 0.000
```

Properties
magnetization	0.9	μB per formula unit
total energy	-3.3198	eV/atom
polymorph energy (0 for the lowest one)	0.2432	eV per atom
D(E_F)	1.46	states/eV/f.u.
crystal system	tetragonal
uncorrected formation energy	-88.51	kJ per mole of atoms